No. 1
{
  "formula": "Nd3Tl2Hg3",
  "functional": "PBE-GGA",
  "state": "optimized geometry",
  "density_g_cm3": 10.26,
  "magnetic_moment_mub_per_fu": 0.00,
  "formation_energy_mev_per_atom": -315,
  "spacegroup": "P-62m",
  "n_ef_per_ev_atom": 0.92,
  "lattice": [[8.525, 0.000, 0.000], [-4.263, 7.383, 0.000], [0.000, 0.000, 3.710]],
  "species": ["Nd", "Nd", "Nd", "Tl", "Tl", "Hg", "Hg", "Hg"],
  "frac_coords": [[0.000, 0.660, 0.000], [0.340, 0.340, 0.000], [0.660, 0.000, 0.000], [0.333, 0.667, 0.500], [0.667, 0.333, 0.500], [0.000, 0.284, 0.500], [0.284, 0.000, 0.500], [0.716, 0.716, 0.500]]
}

No. 2
{
  "formula": "Ba2TiRh2",
  "functional": "PBE-GGA",
  "state": "optimized geometry",
  "density_g_cm3": 6.97,
  "magnetic_moment_mub_per_fu": 0.00,
  "formation_energy_mev_per_atom": 17,
  "spacegroup": "P4/mbm",
  "n_ef_per_ev_atom": 1.05,
  "lattice": [[6.859, 0.000, 0.000], [0.000, 6.859, 0.000], [0.000, 0.000, 5.350]],
  "species": ["Ba", "Ba", "Ba", "Ba", "Ti", "Ti", "Rh", "Rh", "Rh", "Rh"],
  "frac_coords": [[0.178, 0.322, 0.000], [0.322, 0.822, 0.000], [0.678, 0.178, 0.000], [0.822, 0.678, 0.000], [0.000, 0.000, 0.500], [0.500, 0.500, 0.500], [0.137, 0.637, 0.500], [0.363, 0.137, 0.500], [0.637, 0.863, 0.500], [0.863, 0.363, 0.500]]
}

No. 3
{
  "formula": "CsTeHN2",
  "functional": "PBE-GGA",
  "state": "optimized geometry",
  "density_g_cm3": 2.93,
  "magnetic_moment_mub_per_fu": 1.55,
  "spacegroup": "P4/mmm",
  "energy_ev_per_atom": -2.073,
  "n_ef_per_ev_atom": 1.02,
  "lattice": [[4.531, 0.000, 0.000], [0.000, 4.531, 0.000], [0.000, 0.000, 7.991]],
  "species": ["Cs", "Te", "H", "N", "N"],
  "frac_coords": [[0.000, 0.000, 0.000], [0.000, 0.000, 0.500], [0.500, 0.500, 0.500], [0.000, 0.500, 0.000], [0.500, 0.000, 0.000]]
}

No. 4
{
  "formula": "LiTi3W",
  "functional": "PBE-GGA",
  "state": "optimized geometry",
  "density_g_cm3": 4.87,
  "magnetic_moment_mub_per_fu": 0.00,
  "formation_energy_mev_per_atom": 883,
  "spacegroup": "Pm-3m",
  "n_ef_per_ev_atom": 1.52,
  "lattice": [[4.850, 0.000, 0.000], [0.000, 4.850, 0.000], [0.000, 0.000, 4.850]],
  "species": ["Li", "Ti", "Ti", "Ti", "W"],
  "frac_coords": [[0.000, 0.000, 0.000], [0.000, 0.500, 0.500], [0.500, 0.000, 0.500], [0.500, 0.500, 0.000], [0.500, 0.500, 0.500]]
}

No. 5
{
  "formula": "KTaZn2",
  "functional": "PBE-GGA",
  "state": "optimized geometry",
  "density_g_cm3": 5.63,
  "magnetic_moment_mub_per_fu": 0.00,
  "formation_energy_mev_per_atom": 1046,
  "spacegroup": "I-42d",
  "n_ef_per_ev_atom": 0.59,
  "lattice": [[-3.823, 3.823, 3.539], [3.823, -3.823, 3.539], [3.823, 3.823, -3.539]],
  "species": ["K", "K", "Ta", "Ta", "Zn", "Zn", "Zn", "Zn"],
  "frac_coords": [[0.000, 0.000, 0.000], [0.750, 0.250, 0.500], [0.250, 0.750, 0.500], [0.500, 0.500, 0.000], [0.179, 0.625, 0.054], [0.375, 0.429, 0.554], [0.571, 0.125, 0.946], [0.875, 0.821, 0.446]]
}